No. 1
# MgBe3 (GGA-PBE, optimized geometry)
data_MgBe3
_space_group_name_H-M_alt 'P m m 2'
_space_group_IT_number 25
_space_group_name_Hall 'P 2 -2'
_cell_length_a 2.6233
_cell_length_b 3.7176
_cell_length_c 4.7900
_cell_angle_alpha 90.00
_cell_angle_beta 90.00
_cell_angle_gamma 90.00
loop_
_atom_site_label
_atom_site_type_symbol
_atom_site_fract_x
_atom_site_fract_y
_atom_site_fract_z
_atom_site_occupancy
Mg1 Mg 0.0000 0.0000 0.0000 1
Be1 Be 0.0000 0.5000 0.6017 1
Be2 Be 0.5000 0.0000 0.4946 1
Be3 Be 0.5000 0.5000 0.2448 1
# Crystal system: orthorhombic
# Calculated total energy in eV/atom: -2.8462

=====

No. 2
# Mg2Be (GGA-PBE, optimized geometry)
data_Mg2Be
_space_group_name_H-M_alt 'P -3 m 1'
_space_group_IT_number 164
_space_group_name_Hall '-P 3 2"'
_cell_length_a 3.0712
_cell_length_b 3.0712
_cell_length_c 6.7016
_cell_angle_alpha 90.00
_cell_angle_beta 90.00
_cell_angle_gamma 120.00
loop_
_atom_site_label
_atom_site_type_symbol
_atom_site_fract_x
_atom_site_fract_y
_atom_site_fract_z
_atom_site_occupancy
Mg1 Mg 0.3333 0.6667 0.2970 1
Be1 Be 0.0000 0.0000 0.0000 1
# Crystal system: trigonal
# Calculated total energy in eV/atom: -1.9243

=====

No. 3
# MgBe3 (GGA-PBE, optimized geometry)
data_MgBe3
_space_group_name_H-M_alt 'C 1 2/m 1'
_space_group_IT_number 12
_space_group_name_Hall '-C 2y'
_cell_length_a 6.6540
_cell_length_b 3.4965
_cell_length_c 8.5815
_cell_angle_alpha 90.00
_cell_angle_beta 96.83
_cell_angle_gamma 90.00
loop_
_atom_site_label
_atom_site_type_symbol
_atom_site_fract_x
_atom_site_fract_y
_atom_site_fract_z
_atom_site_occupancy
Mg1 Mg 0.1432 0.0000 0.3638 1
Be1 Be 0.0526 0.5000 0.8829 1
Be2 Be 0.1282 0.0000 0.0730 1
Be3 Be 0.2160 0.0000 0.8328 1
# Crystal system: monoclinic
# Calculated total energy in eV/atom: -3.0414

=====

No. 4
# MgBe3 (GGA-PBE, optimized geometry)
data_MgBe3
_space_group_name_H-M_alt 'P 63/m m c'
_space_group_IT_number 194
_space_group_name_Hall '-P 6c 2c'
_cell_length_a 5.4725
_cell_length_b 5.4725
_cell_length_c 3.6115
_cell_angle_alpha 90.00
_cell_angle_beta 90.00
_cell_angle_gamma 120.00
loop_
_atom_site_label
_atom_site_type_symbol
_atom_site_fract_x
_atom_site_fract_y
_atom_site_fract_z
_atom_site_occupancy
Mg1 Mg 0.3333 0.6667 0.2500 1
Be1 Be 0.1320 0.2640 0.7500 1
# Crystal system: hexagonal
# Calculated total energy in eV/atom: -2.9685

=====

No. 5
# MgBe3 (GGA-PBE, optimized geometry)
data_MgBe3
_space_group_name_H-M_alt 'A m m 2'
_space_group_IT_number 38
_space_group_name_Hall 'A 2 -2'
_cell_length_a 4.0035
_cell_length_b 4.1337
_cell_length_c 11.3699
_cell_angle_alpha 90.00
_cell_angle_beta 90.00
_cell_angle_gamma 90.00
loop_
_atom_site_label
_atom_site_type_symbol
_atom_site_fract_x
_atom_site_fract_y
_atom_site_fract_z
_atom_site_occupancy
Mg1 Mg 0.0000 0.0000 0.0000 1
Mg2 Mg 0.5000 0.0000 0.4103 1
Be1 Be 0.0000 0.2478 0.7610 1
Be2 Be 0.2532 0.0000 0.6185 1
Be3 Be 0.5000 0.0000 0.1868 1
Be4 Be 0.5000 0.0000 0.7806 1
# Crystal system: orthorhombic
# Calculated total energy in eV/atom: -3.0389

=====

No. 6
# MgBe2 (GGA-PBE, optimized geometry)
data_MgBe2
_space_group_name_H-M_alt 'C m c m'
_space_group_IT_number 63
_space_group_name_Hall '-C 2c 2'
_cell_length_a 2.6012
_cell_length_b 13.1045
_cell_length_c 4.3823
_cell_angle_alpha 90.00
_cell_angle_beta 90.00
_cell_angle_gamma 90.00
loop_
_atom_site_label
_atom_site_type_symbol
_atom_site_fract_x
_atom_site_fract_y
_atom_site_fract_z
_atom_site_occupancy
Mg1 Mg 0.0000 0.1048 0.2500 1
Be1 Be 0.0000 0.2128 0.7500 1
Be2 Be 0.0000 0.4331 0.2500 1
# Crystal system: orthorhombic
# Calculated total energy in eV/atom: -2.6110

=====

No. 7
# MgBe2 (GGA-PBE, optimized geometry)
data_MgBe2
_space_group_name_H-M_alt 'C 1 2/m 1'
_space_group_IT_number 12
_space_group_name_Hall '-C 2y'
_cell_length_a 9.1976
_cell_length_b 2.6340
_cell_length_c 6.4708
_cell_angle_alpha 90.00
_cell_angle_beta 109.87
_cell_angle_gamma 90.00
loop_
_atom_site_label
_atom_site_type_symbol
_atom_site_fract_x
_atom_site_fract_y
_atom_site_fract_z
_atom_site_occupancy
Mg1 Mg 0.1589 0.0000 0.1262 1
Be1 Be 0.0352 0.5000 0.7089 1
Be2 Be 0.1445 0.0000 0.5231 1
# Crystal system: monoclinic
# Calculated total energy in eV/atom: -2.6936

=====

No. 8
# Mg2Be (GGA-PBE, optimized geometry)
data_Mg2Be
_space_group_name_H-M_alt 'P 4/m m m'
_space_group_IT_number 123
_space_group_name_Hall '-P 4 2'
_cell_length_a 4.5061
_cell_length_b 4.5061
_cell_length_c 2.8388
_cell_angle_alpha 90.00
_cell_angle_beta 90.00
_cell_angle_gamma 90.00
loop_
_atom_site_label
_atom_site_type_symbol
_atom_site_fract_x
_atom_site_fract_y
_atom_site_fract_z
_atom_site_occupancy
Mg1 Mg 0.0000 0.5000 0.0000 1
Be1 Be 0.0000 0.0000 0.5000 1
# Crystal system: tetragonal
# Calculated total energy in eV/atom: -1.9987

=====

No. 9
# Mg2Be (GGA-PBE, optimized geometry)
data_Mg2Be
_space_group_name_H-M_alt 'C m c m'
_space_group_IT_number 63
_space_group_name_Hall '-C 2c 2'
_cell_length_a 3.0374
_cell_length_b 15.1334
_cell_length_c 4.5341
_cell_angle_alpha 90.00
_cell_angle_beta 90.00
_cell_angle_gamma 90.00
loop_
_atom_site_label
_atom_site_type_symbol
_atom_site_fract_x
_atom_site_fract_y
_atom_site_fract_z
_atom_site_occupancy
Mg1 Mg 0.0000 0.0845 0.2500 1
Mg2 Mg 0.0000 0.2091 0.7500 1
Be1 Be 0.0000 0.4463 0.2500 1
# Crystal system: orthorhombic
# Calculated total energy in eV/atom: -2.0275

=====

No. 10
# Mg2Be (GGA-PBE, optimized geometry)
data_Mg2Be
_space_group_name_H-M_alt 'C m c m'
_space_group_IT_number 63
_space_group_name_Hall '-C 2c 2'
_cell_length_a 3.0810
_cell_length_b 14.6289
_cell_length_c 4.7490
_cell_angle_alpha 90.00
_cell_angle_beta 90.00
_cell_angle_gamma 90.00
loop_
_atom_site_label
_atom_site_type_symbol
_atom_site_fract_x
_atom_site_fract_y
_atom_site_fract_z
_atom_site_occupancy
Mg1 Mg 0.0000 0.0674 0.2500 1
Mg2 Mg 0.0000 0.3685 0.2500 1
Be1 Be 0.0000 0.2773 0.7500 1
# Crystal system: orthorhombic
# Calculated total energy in eV/atom: -1.9429

=====

No. 11
# Mg2Be (GGA-PBE, optimized geometry)
data_Mg2Be
_space_group_name_H-M_alt 'I 41/a m d'
_space_group_IT_number 141
_cell_length_a 2.9790
_cell_length_b 2.9790
_cell_length_c 24.5423
_cell_angle_alpha 90.00
_cell_angle_beta 90.00
_cell_angle_gamma 90.00
loop_
_space_group_symop_operation_xyz
'x,y,z'
'-x,-y,-z'
'-y+1/4,x+3/4,z+1/4'
'y+1/4,-x+3/4,-z+1/4'
'-x+1/2,-y,z+1/2'
'x+1/2,y,-z+1/2'
'y+1/4,-x+1/4,z+3/4'
'-y+1/4,x+1/4,-z+3/4'
'x,-y,-z'
'-x,y,z'
'-y+1/4,-x+1/4,-z+3/4'
'y+1/4,x+1/4,z+3/4'
'-x+1/2,y,-z+1/2'
'x+1/2,-y,z+1/2'
'y+1/4,x+3/4,-z+1/4'
'-y+1/4,-x+3/4,z+1/4'
'x+1/2,y+1/2,z+1/2'
'-x+1/2,-y+1/2,-z+1/2'
'-y+3/4,x+1/4,z+3/4'
'y+3/4,-x+1/4,-z+3/4'
'-x,-y+1/2,z'
'x,y+1/2,-z'
'y+3/4,-x+3/4,z+1/4'
'-y+3/4,x+3/4,-z+1/4'
'x+1/2,-y+1/2,-z+1/2'
'-x+1/2,y+1/2,z+1/2'
'-y+3/4,-x+3/4,-z+1/4'
'y+3/4,x+3/4,z+1/4'
'-x,y+1/2,-z'
'x,-y+1/2,z'
'y+3/4,x+1/4,-z+3/4'
'-y+3/4,-x+1/4,z+3/4'
loop_
_atom_site_label
_atom_site_type_symbol
_atom_site_fract_x
_atom_site_fract_y
_atom_site_fract_z
_atom_site_occupancy
Mg1 Mg 0.0000 0.2500 0.3073 1
Be1 Be 0.0000 0.2500 0.8750 1
# Crystal system: tetragonal
# Calculated total energy in eV/atom: -1.9927

=====

No. 12
# MgBe3 (GGA-PBE, optimized geometry)
data_MgBe3
_space_group_name_H-M_alt 'P 1 2/m 1'
_space_group_IT_number 10
_space_group_name_Hall '-P 2y'
_cell_length_a 2.6174
_cell_length_b 3.7257
_cell_length_c 4.8813
_cell_angle_alpha 90.00
_cell_angle_beta 104.22
_cell_angle_gamma 90.00
loop_
_atom_site_label
_atom_site_type_symbol
_atom_site_fract_x
_atom_site_fract_y
_atom_site_fract_z
_atom_site_occupancy
Mg1 Mg 0.0000 0.0000 0.0000 1
Be1 Be 0.3388 0.5000 0.6921 1
Be2 Be 0.5000 0.0000 0.5000 1
# Crystal system: monoclinic
# Calculated total energy in eV/atom: -2.8406

=====

No. 13
# Mg2Be (GGA-PBE, optimized geometry)
data_Mg2Be
_space_group_name_H-M_alt 'P n m a'
_space_group_IT_number 62
_space_group_name_Hall '-P 2ac 2n'
_cell_length_a 5.8436
_cell_length_b 4.3151
_cell_length_c 8.3123
_cell_angle_alpha 90.00
_cell_angle_beta 90.00
_cell_angle_gamma 90.00
loop_
_atom_site_label
_atom_site_type_symbol
_atom_site_fract_x
_atom_site_fract_y
_atom_site_fract_z
_atom_site_occupancy
Mg1 Mg 0.0464 0.2500 0.1959 1
Mg2 Mg 0.1703 0.2500 0.5509 1
Be1 Be 0.2241 0.2500 0.8655 1
# Crystal system: orthorhombic
# Calculated total energy in eV/atom: -2.0289

=====

No. 14
# MgBe3 (GGA-PBE, optimized geometry)
data_MgBe3
_space_group_name_H-M_alt 'P -6 m 2'
_space_group_IT_number 187
_space_group_name_Hall 'P -6 2'
_cell_length_a 2.6270
_cell_length_b 2.6270
_cell_length_c 7.7744
_cell_angle_alpha 90.00
_cell_angle_beta 90.00
_cell_angle_gamma 120.00
loop_
_atom_site_label
_atom_site_type_symbol
_atom_site_fract_x
_atom_site_fract_y
_atom_site_fract_z
_atom_site_occupancy
Mg1 Mg 0.0000 0.0000 0.0000 1
Be1 Be 0.0000 0.0000 0.5000 1
Be2 Be 0.6667 0.3333 0.2840 1
# Crystal system: hexagonal
# Calculated total energy in eV/atom: -2.7642

=====

No. 15
# Mg3Be (GGA-PBE, optimized geometry)
data_Mg3Be
_space_group_name_H-M_alt 'I m m m'
_space_group_IT_number 71
_space_group_name_Hall '-I 2 2'
_cell_length_a 3.1145
_cell_length_b 4.8544
_cell_length_c 9.9560
_cell_angle_alpha 90.00
_cell_angle_beta 90.00
_cell_angle_gamma 90.00
loop_
_atom_site_label
_atom_site_type_symbol
_atom_site_fract_x
_atom_site_fract_y
_atom_site_fract_z
_atom_site_occupancy
Mg1 Mg 0.0000 0.0000 0.0000 1
Mg2 Mg 0.0000 0.5000 0.2119 1
Be1 Be 0.0000 0.0000 0.5000 1
# Crystal system: orthorhombic
# Calculated total energy in eV/atom: -1.8777

=====

No. 16
# MgBe3 (GGA-PBE, optimized geometry)
data_MgBe3
_space_group_name_H-M_alt 'P 4/m m m'
_space_group_IT_number 123
_space_group_name_Hall '-P 4 2'
_cell_length_a 3.6083
_cell_length_b 3.6083
_cell_length_c 3.4988
_cell_angle_alpha 90.00
_cell_angle_beta 90.00
_cell_angle_gamma 90.00
loop_
_atom_site_label
_atom_site_type_symbol
_atom_site_fract_x
_atom_site_fract_y
_atom_site_fract_z
_atom_site_occupancy
Mg1 Mg 0.0000 0.0000 0.0000 1
Be1 Be 0.0000 0.5000 0.5000 1
Be2 Be 0.5000 0.5000 0.0000 1
# Crystal system: tetragonal
# Calculated total energy in eV/atom: -2.7583

=====

No. 17
# MgBe2 (GGA-PBE, optimized geometry)
data_MgBe2
_space_group_name_H-M_alt 'I 4/m m m'
_space_group_IT_number 139
_space_group_name_Hall '-I 4 2'
_cell_length_a 2.7761
_cell_length_b 2.7761
_cell_length_c 9.5380
_cell_angle_alpha 90.00
_cell_angle_beta 90.00
_cell_angle_gamma 90.00
loop_
_atom_site_label
_atom_site_type_symbol
_atom_site_fract_x
_atom_site_fract_y
_atom_site_fract_z
_atom_site_occupancy
Mg1 Mg 0.0000 0.0000 0.0000 1
Be1 Be 0.0000 0.0000 0.3007 1
# Crystal system: tetragonal
# Calculated total energy in eV/atom: -2.7171

=====

No. 18
# Mg3Be (GGA-PBE, optimized geometry)
data_Mg3Be
_space_group_name_H-M_alt 'P m -3 n'
_space_group_IT_number 223
_space_group_name_Hall '-P 4n 2 3'
_cell_length_a 5.3210
_cell_length_b 5.3210
_cell_length_c 5.3210
_cell_angle_alpha 90.00
_cell_angle_beta 90.00
_cell_angle_gamma 90.00
loop_
_atom_site_label
_atom_site_type_symbol
_atom_site_fract_x
_atom_site_fract_y
_atom_site_fract_z
_atom_site_occupancy
Mg1 Mg 0.0000 0.2500 0.5000 1
Be1 Be 0.0000 0.0000 0.0000 1
# Crystal system: cubic
# Calculated total energy in eV/atom: -1.8410

=====

No. 19
# MgBe3 (GGA-PBE, optimized geometry)
data_MgBe3
_space_group_name_H-M_alt 'P 63/m m c'
_space_group_IT_number 194
_space_group_name_Hall '-P 6c 2c'
_cell_length_a 5.1787
_cell_length_b 5.1787
_cell_length_c 7.8317
_cell_angle_alpha 90.00
_cell_angle_beta 90.00
_cell_angle_gamma 120.00
loop_
_atom_site_label
_atom_site_type_symbol
_atom_site_fract_x
_atom_site_fract_y
_atom_site_fract_z
_atom_site_occupancy
Mg1 Mg 0.0000 0.0000 0.0000 1
Mg2 Mg 0.3333 0.6667 0.2500 1
Be1 Be 0.0000 0.5000 0.0000 1
Be2 Be 0.1907 0.3815 0.7500 1
# Crystal system: hexagonal
# Calculated total energy in eV/atom: -2.8258

=====

No. 20
# Mg8Be (GGA-PBE, optimized geometry)
data_Mg8Be
_space_group_name_H-M_alt 'I 4/m m m'
_space_group_IT_number 139
_space_group_name_Hall '-I 4 2'
_cell_length_a 11.1842
_cell_length_b 11.1842
_cell_length_c 3.0874
_cell_angle_alpha 90.00
_cell_angle_beta 90.00
_cell_angle_gamma 90.00
loop_
_atom_site_label
_atom_site_type_symbol
_atom_site_fract_x
_atom_site_fract_y
_atom_site_fract_z
_atom_site_occupancy
Mg1 Mg 0.0000 0.3342 0.0000 1
Mg2 Mg 0.1501 0.1501 0.5000 1
Be1 Be 0.0000 0.0000 0.0000 1
# Crystal system: tetragonal
# Calculated total energy in eV/atom: -1.6713